# 1
Pm2PuI8 after structural relaxation, computed with PBE.

Summary:
Formation energy (no corrections): -12.92 eV/f.u.
D(E_F): 1.64 states/eV/atom

a = 10.791 Å, b = 10.791 Å, c = 7.810 Å
α = 95.59°, β = 95.59°, γ = 46.14°
Sites, in units of the cell vectors:
Pm  0.148  0.148  0.455
Pm  0.852  0.852  0.545
Pu  0.000  0.000  0.000
I  0.143  0.143  0.839
I  0.192  0.678  0.732
I  0.287  0.287  0.366
I  0.322  0.808  0.268
I  0.678  0.192  0.732
I  0.713  0.713  0.634
I  0.808  0.322  0.268
I  0.857  0.857  0.161

---

# 2
PmPu3I8 after structural relaxation, computed with PBE.

Summary:
Formation energy (no corrections): -13.45 eV/f.u.
D(E_F): 2.94 states/eV/atom

a = 8.646 Å, b = 8.646 Å, c = 9.364 Å
α = 117.80°, β = 117.80°, γ = 59.99°
Sites, in units of the cell vectors:
Pm  0.000  0.000  0.000
Pu  0.000  0.500  0.000
Pu  0.500  0.000  0.000
Pu  0.500  0.500  0.000
I  0.248  0.750  0.752
I  0.250  0.250  0.248
I  0.250  0.250  0.754
I  0.250  0.752  0.248
I  0.750  0.248  0.752
I  0.750  0.750  0.246
I  0.750  0.750  0.752
I  0.752  0.250  0.248

---

# 3
PmPu2I6 after structural relaxation, computed with PBE.

Summary:
Formation energy (no corrections): -10.22 eV/f.u.
D(E_F): 2.63 states/eV/atom

a = 8.928 Å, b = 8.928 Å, c = 10.970 Å
α = 110.76°, β = 110.76°, γ = 27.89°
Sites, in units of the cell vectors:
Pm  0.000  0.000  0.000
Pu  0.335  0.335  0.668
Pu  0.665  0.665  0.332
I  0.025  0.025  0.300
I  0.306  0.306  0.366
I  0.359  0.359  0.970
I  0.641  0.641  0.030
I  0.694  0.694  0.634
I  0.975  0.975  0.700

---

# 4
PmPuI5 after structural relaxation, computed with PBE.

Summary:
Formation energy (no corrections): -8.76 eV/f.u.
D(E_F): 1.94 states/eV/atom

a = 9.237 Å, b = 4.322 Å, c = 15.155 Å
α = 90.00°, β = 95.17°, γ = 90.00°
Sites, in units of the cell vectors:
Pm  0.083  0.250  0.156
Pm  0.917  0.750  0.844
Pu  0.407  0.750  0.360
Pu  0.593  0.250  0.640
I  0.139  0.250  0.794
I  0.147  0.250  0.367
I  0.183  0.750  0.019
I  0.351  0.750  0.569
I  0.428  0.250  0.198
I  0.572  0.750  0.802
I  0.649  0.250  0.431
I  0.817  0.250  0.981
I  0.853  0.750  0.633
I  0.861  0.750  0.206

---

# 5
RbPmPuI6 after structural relaxation, computed with PBE.

Summary:
Formation energy (no corrections): -11.80 eV/f.u.
D(E_F): 2.26 states/eV/atom

a = 8.084 Å, b = 8.084 Å, c = 16.482 Å
α = 90.00°, β = 90.00°, γ = 120.00°
Sites, in units of the cell vectors:
Rb  0.000  0.000  0.000
Rb  0.000  0.000  0.500
Pm  0.333  0.667  0.250
Pm  0.667  0.333  0.750
Pu  0.333  0.667  0.750
Pu  0.667  0.333  0.250
I  0.007  0.371  0.138
I  0.007  0.636  0.362
I  0.364  0.371  0.362
I  0.364  0.993  0.138
I  0.371  0.007  0.638
I  0.371  0.364  0.862
I  0.629  0.636  0.138
I  0.629  0.993  0.362
I  0.636  0.007  0.862
I  0.636  0.629  0.638
I  0.993  0.364  0.638
I  0.993  0.629  0.862

---

# 6
PmPuRhI after structural relaxation, computed with PBE.

Summary:
Formation energy (no corrections): -2.86 eV/f.u.
D(E_F): 2.96 states/eV/atom

a = 8.500 Å, b = 8.500 Å, c = 8.500 Å
α = 27.64°, β = 27.64°, γ = 27.64°
Sites, in units of the cell vectors:
Pm  0.000  0.000  0.000
Pu  0.793  0.793  0.793
Rh  0.401  0.401  0.401
I  0.232  0.232  0.232

---

# 7
PmPuTeI after structural relaxation, computed with PBE.

Summary:
Formation energy (no corrections): -3.57 eV/f.u.
D(E_F): 2.15 states/eV/atom

a = 5.454 Å, b = 5.454 Å, c = 5.454 Å
α = 60.00°, β = 60.00°, γ = 60.00°
Sites, in units of the cell vectors:
Pm  0.000  0.000  0.000
Pu  0.500  0.500  0.500
Te  0.750  0.750  0.750
I  0.250  0.250  0.250

---

# 8
RbPm2I8 after structural relaxation, computed with PBE.

Summary:
Formation energy (no corrections): -13.73 eV/f.u.
D(E_F): 0.17 states/eV/atom

a = 9.221 Å, b = 9.221 Å, c = 6.254 Å
α = 90.07°, β = 90.07°, γ = 115.39°
Sites, in units of the cell vectors:
Rb  0.000  0.000  0.000
Pm  0.305  0.695  0.500
Pm  0.695  0.305  0.500
I  0.056  0.325  0.501
I  0.260  0.740  0.000
I  0.325  0.056  0.501
I  0.499  0.499  0.249
I  0.501  0.501  0.751
I  0.675  0.944  0.499
I  0.740  0.260  0.000
I  0.944  0.675  0.499

---

# 9
RbPmI after structural relaxation, computed with PBE.

Summary:
Formation energy (no corrections): -1.34 eV/f.u.
D(E_F): 1.03 states/eV/atom

a = 17.292 Å, b = 4.146 Å, c = 4.146 Å
α = 59.91°, β = 90.00°, γ = 90.00°
Sites, in units of the cell vectors:
Rb  0.152  0.000  0.000
Rb  0.848  0.000  0.000
Pm  0.373  0.679  0.679
Pm  0.627  0.679  0.679
I  0.000  0.667  0.667
I  0.500  0.012  0.012

---

# 10
RbPmI2 after structural relaxation, computed with PBE.

Summary:
Formation energy (no corrections): -4.03 eV/f.u.
D(E_F): 0.55 states/eV/atom

a = 10.200 Å, b = 10.200 Å, c = 10.200 Å
α = 23.75°, β = 23.75°, γ = 23.75°
Sites, in units of the cell vectors:
Rb  0.000  0.000  0.000
Pm  0.500  0.500  0.500
I  0.240  0.240  0.240
I  0.760  0.760  0.760

---

# 11
Rb4PmI7 after structural relaxation, computed with PBE.

Summary:
Formation energy (no corrections): -17.34 eV/f.u.
D(E_F): 0.00 states/eV/atom

a = 9.765 Å, b = 9.765 Å, c = 12.512 Å
α = 104.86°, β = 104.86°, γ = 36.94°
Sites, in units of the cell vectors:
Rb  0.014  0.014  0.206
Rb  0.258  0.258  0.837
Rb  0.742  0.742  0.163
Rb  0.986  0.986  0.794
Pm  0.500  0.500  0.500
I  0.000  0.000  0.500
I  0.144  0.144  0.039
I  0.378  0.378  0.275
I  0.383  0.383  0.637
I  0.617  0.617  0.363
I  0.622  0.622  0.725
I  0.856  0.856  0.961

---

# 12
Rb4PmI5 after structural relaxation, computed with PBE.

Summary:
Formation energy (no corrections): -11.94 eV/f.u.
D(E_F): 0.65 states/eV/atom

a = 8.890 Å, b = 8.890 Å, c = 8.890 Å
α = 99.54°, β = 99.54°, γ = 131.96°
Sites, in units of the cell vectors:
Rb  0.092  0.297  0.389
Rb  0.297  0.908  0.205
Rb  0.703  0.092  0.795
Rb  0.908  0.703  0.611
Pm  0.496  0.496  0.000
I  0.227  0.589  0.817
I  0.410  0.227  0.637
I  0.589  0.772  0.363
I  0.772  0.410  0.183
I  0.976  0.976  0.000

---

Among the records above, which one has the highest formation energy (no corrections)?
RbPmI

---

Which formula does entry 6 have?
PmPuRhI